# GGA+U AcEr4Co3O12, relaxed
data_AcEr4Co3O12
_space_group_name_H-M_alt 'I m -3'
_space_group_IT_number 204
_space_group_name_Hall '-I 2 2 3'
_cell_length_a 8.0745
_cell_length_b 8.0745
_cell_length_c 8.0745
_cell_angle_alpha 90.00
_cell_angle_beta 90.00
_cell_angle_gamma 90.00
loop_
_atom_site_label
_atom_site_fract_x
_atom_site_fract_y
_atom_site_fract_z
_atom_site_occupancy
Ac1 0.0000 0.0000 0.0000 1
Er1 0.2500 0.2500 0.2500 1
Co1 0.0000 0.0000 0.5000 1
O1 0.0000 0.3205 0.1535 1
# Total moment = 6.069 μB per formula unit
# Energy = -7.313 eV per atom
# Volume = 526.4 Å³ per cell